Record 1
UNbIr2 | PBE | relaxed

Output
* polymorph energy (0 for the lowest one): 27.2 kJ per mole of atoms
* ΔH_f (0 K): -0.177 eV/atom

abc: 9.907 9.907 9.907
angles: 16.44 16.44 16.44
Positions (direct):
U (0.000, 0.000, 0.000)
Nb (0.500, 0.500, 0.500)
Ir (0.245, 0.245, 0.245)
Ir (0.755, 0.755, 0.755)

Record 2
BeZnAg2 | PBE | relaxed

Output
* polymorph energy (0 for the lowest one): 6.9 kJ per mole of atoms
* ΔH_f (0 K): 0.143 eV/atom

abc: 4.930 4.930 4.930
angles: 140.81 127.07 67.80
Positions (direct):
Be (0.000, 0.000, 0.000)
Zn (0.500, 0.500, 0.000)
Ag (0.217, 0.717, 0.500)
Ag (0.783, 0.283, 0.500)

Record 3
ZrScCu2 | PBE | relaxed

Output
* polymorph energy (0 for the lowest one): 0.1 kJ per mole of atoms
* ΔH_f (0 K): -0.180 eV/atom

abc: 10.216 10.216 4.328
angles: 90.00 90.00 161.92
Positions (direct):
Zr (0.198, 0.802, 0.750)
Zr (0.802, 0.198, 0.250)
Sc (0.054, 0.946, 0.250)
Sc (0.946, 0.054, 0.750)
Cu (0.339, 0.661, 0.750)
Cu (0.419, 0.581, 0.250)
Cu (0.581, 0.419, 0.750)
Cu (0.661, 0.339, 0.250)

Record 4
La2Pr3Dy6Y | PBE | relaxed

Output
* ΔH_f (0 K): 0.015 eV/atom

abc: 6.289 6.289 11.922
angles: 95.03 95.03 120.00
Positions (direct):
La (0.166, 0.834, 0.000)
La (0.834, 0.166, 0.000)
Pr (0.000, 0.000, 0.500)
Pr (0.333, 0.667, 0.500)
Pr (0.667, 0.333, 0.500)
Dy (0.084, 0.416, 0.750)
Dy (0.251, 0.251, 0.250)
Dy (0.416, 0.084, 0.750)
Dy (0.584, 0.916, 0.250)
Dy (0.749, 0.749, 0.750)
Dy (0.916, 0.584, 0.250)
Y (0.500, 0.500, 0.000)

Record 5
SbAsC | PBE | relaxed

Output
* polymorph energy (0 for the lowest one): 0.0 kJ per mole of atoms
* energy relative to the elements, uncorrected: 50.4 kJ/mol of atoms

abc: 4.931 4.931 8.440
angles: 108.68 108.68 48.34
Positions (direct):
Sb (0.000, 0.000, 0.000)
Sb (0.736, 0.736, 0.408)
As (0.432, 0.432, 0.185)
As (0.696, 0.696, 0.768)
C (0.049, 0.379, 0.604)
C (0.379, 0.049, 0.604)

Record 6
Pm2ErGa4Pd3 | PBE | relaxed

Output
* ΔH_f (0 K): -0.729 eV/atom

abc: 4.203 4.203 11.816
angles: 90.00 90.00 90.00
Positions (direct):
Pm (0.000, 0.500, 0.227)
Pm (0.500, 0.000, 0.773)
Er (0.000, 0.000, 0.500)
Ga (0.000, 0.000, 0.000)
Ga (0.000, 0.500, 0.666)
Ga (0.500, 0.000, 0.334)
Ga (0.500, 0.500, 0.000)
Pd (0.000, 0.500, 0.876)
Pd (0.500, 0.000, 0.124)
Pd (0.500, 0.500, 0.500)

Record 7
K3BIr | PBE | relaxed

Output
* ΔH_f (0 K): 1.598 eV/atom

abc: 6.099 6.099 6.099
angles: 90.00 90.00 90.00
Positions (direct):
K (0.000, 0.000, 0.500)
K (0.000, 0.500, 0.000)
K (0.500, 0.000, 0.000)
B (0.500, 0.500, 0.500)
Ir (0.000, 0.000, 0.000)

Record 8
Pm2Ge5Pt | PBE | relaxed

Output
* ΔH_f (0 K): -0.576 eV/atom

abc: 6.397 6.397 6.397
angles: 124.33 124.33 82.65
Positions (direct):
Pm (0.000, 0.500, 0.500)
Pm (0.500, 0.000, 0.500)
Ge (0.008, 0.008, 0.534)
Ge (0.008, 0.474, 0.000)
Ge (0.436, 0.436, 0.000)
Ge (0.474, 0.008, 0.000)
Ge (0.474, 0.474, 0.466)
Pt (0.864, 0.864, 0.000)

Record 9
Cs2KBi | PBE | relaxed

Output
* ΔH_f (0 K): 0.241 eV/atom

abc: 16.312 16.312 16.312
angles: 15.54 15.54 15.54
Positions (direct):
Cs (0.075, 0.075, 0.075)
Cs (0.925, 0.925, 0.925)
K (0.500, 0.500, 0.500)
Bi (0.000, 0.000, 0.000)

Record 10
YSnGe3 | PBE | relaxed

Output
* polymorph energy (0 for the lowest one): 6.3 kJ per mole of atoms
* ΔH_f (0 K): 0.619 eV/atom

abc: 5.381 5.381 5.381
angles: 90.00 90.00 90.00
Positions (direct):
Y (0.000, 0.000, 0.000)
Sn (0.500, 0.500, 0.500)
Ge (0.000, 0.000, 0.500)
Ge (0.000, 0.500, 0.000)
Ge (0.500, 0.000, 0.000)

Record 11
Er4ZnCd | PBE | relaxed

Output
* polymorph energy (0 for the lowest one): 24.8 kJ per mole of atoms
* ΔH_f (0 K): 0.059 eV/atom

abc: 4.959 4.959 7.184
angles: 90.00 90.00 90.00
Positions (direct):
Er (0.000, 0.500, 0.239)
Er (0.000, 0.500, 0.761)
Er (0.500, 0.000, 0.239)
Er (0.500, 0.000, 0.761)
Zn (0.000, 0.000, 0.000)
Cd (0.500, 0.500, 0.500)

Record 12
YNiPdPb | PBE | relaxed

Output
* ΔH_f (0 K): -0.448 eV/atom

abc: 4.791 4.791 4.791
angles: 60.00 60.00 60.00
Positions (direct):
Y (0.000, 0.000, 0.000)
Ni (0.750, 0.750, 0.750)
Pd (0.250, 0.250, 0.250)
Pb (0.500, 0.500, 0.500)

Record 13
CdMo2As | PBE | relaxed

Output
* polymorph energy (0 for the lowest one): 43.6 kJ per mole of atoms
* ΔH_f (0 K): 0.598 eV/atom

abc: 10.146 10.146 10.146
angles: 157.67 157.67 31.78
Positions (direct):
Cd (0.000, 0.000, 0.000)
Cd (0.750, 0.250, 0.500)
Mo (0.184, 0.625, 0.059)
Mo (0.375, 0.434, 0.559)
Mo (0.566, 0.125, 0.941)
Mo (0.875, 0.816, 0.441)
As (0.250, 0.750, 0.500)
As (0.500, 0.500, 0.000)

Record 14
BaHgPb2S4 | PBE | relaxed

Output
* energy relative to the elements, uncorrected: -75.3 kJ/mol of atoms

abc: 7.450 7.450 14.825
angles: 90.00 90.00 146.75
Positions (direct):
Ba (0.121, 0.879, 0.750)
Ba (0.879, 0.121, 0.250)
Hg (0.150, 0.850, 0.250)
Hg (0.850, 0.150, 0.750)
Pb (0.371, 0.629, 0.547)
Pb (0.371, 0.629, 0.953)
Pb (0.629, 0.371, 0.047)
Pb (0.629, 0.371, 0.453)
S (0.000, 0.000, 0.000)
S (0.000, 0.000, 0.500)
S (0.273, 0.727, 0.121)
S (0.273, 0.727, 0.379)
S (0.452, 0.548, 0.750)
S (0.548, 0.452, 0.250)
S (0.727, 0.273, 0.621)
S (0.727, 0.273, 0.879)

Record 15
KTe2Pb | PBE | relaxed

Output
* energy relative to the elements, uncorrected: -47.4 kJ/mol of atoms

abc: 3.411 4.467 8.970
angles: 90.00 97.04 90.00
Positions (direct):
K (0.000, 0.000, 0.000)
Te (0.426, 0.500, 0.738)
Te (0.574, 0.500, 0.262)
Pb (0.000, 0.000, 0.500)

Record 16
SrPm4Te6 | PBE | relaxed

Output
* energy relative to the elements, uncorrected: -143.3 kJ/mol of atoms

abc: 7.669 7.669 23.093
angles: 90.00 90.00 146.10
Positions (direct):
Sr (0.160, 0.840, 0.750)
Sr (0.840, 0.160, 0.250)
Pm (0.090, 0.910, 0.127)
Pm (0.090, 0.910, 0.373)
Pm (0.360, 0.640, 0.038)
Pm (0.360, 0.640, 0.462)
Pm (0.640, 0.360, 0.538)
Pm (0.640, 0.360, 0.962)
Pm (0.910, 0.090, 0.627)
Pm (0.910, 0.090, 0.873)
Te (0.000, 0.000, 0.000)
Te (0.000, 0.000, 0.500)
Te (0.175, 0.825, 0.250)
Te (0.269, 0.731, 0.589)
Te (0.269, 0.731, 0.911)
Te (0.450, 0.550, 0.163)
Te (0.450, 0.550, 0.337)
Te (0.550, 0.450, 0.663)
Te (0.550, 0.450, 0.837)
Te (0.731, 0.269, 0.089)
Te (0.731, 0.269, 0.411)
Te (0.825, 0.175, 0.750)

Record 17
BeCoAsRh | PBE | relaxed

Output
* ΔH_f (0 K): -0.229 eV/atom

abc: 4.071 4.071 4.071
angles: 60.00 60.00 60.00
Positions (direct):
Be (0.000, 0.000, 0.000)
Co (0.750, 0.750, 0.750)
As (0.500, 0.500, 0.500)
Rh (0.250, 0.250, 0.250)

Record 18
Y2AlRhN | PBE | relaxed

Output
* energy relative to the elements, uncorrected: 87.2 kJ/mol of atoms

abc: 5.408 5.408 4.255
angles: 90.00 90.00 90.00
Positions (direct):
Y (0.000, 0.500, 0.000)
Y (0.500, 0.000, 0.000)
Al (0.000, 0.000, 0.000)
Rh (0.000, 0.000, 0.500)
N (0.500, 0.500, 0.500)

Record 19
Ga3Fe | PBE | relaxed

Output
* ΔH_f (0 K): 0.003 eV/atom

abc: 4.794 4.794 4.794
angles: 141.91 82.44 110.15
Positions (direct):
Ga (0.000, 0.000, 0.000)
Ga (0.229, 0.421, 0.808)
Ga (0.613, 0.421, 0.192)
Fe (0.670, 0.170, 0.500)

Record 20
MgAgMo2 | PBE | relaxed

Output
* ΔH_f (0 K): 0.347 eV/atom

abc: 2.701 4.815 5.289
angles: 90.00 103.56 90.00
Positions (direct):
Mg (0.000, 0.000, 0.000)
Ag (0.000, 0.000, 0.500)
Mo (0.485, 0.500, 0.760)
Mo (0.515, 0.500, 0.240)

Record 21
PmMgCl4 | PBE | relaxed

Output
* energy relative to the elements, uncorrected: -181.2 kJ/mol of atoms

abc: 7.134 3.614 7.156
angles: 90.00 106.93 90.00
Positions (direct):
Pm (0.000, 0.000, 0.000)
Mg (0.500, 0.500, 0.000)
Cl (0.286, 0.000, 0.798)
Cl (0.286, 0.500, 0.227)
Cl (0.714, 0.000, 0.202)
Cl (0.714, 0.500, 0.773)

Record 22
Mg4TlAu | PBE | relaxed

Output
* polymorph energy (0 for the lowest one): 21.0 kJ per mole of atoms
* ΔH_f (0 K): 0.021 eV/atom

abc: 5.746 5.746 5.746
angles: 60.00 60.00 60.00
Positions (direct):
Mg (0.376, 0.376, 0.376)
Mg (0.376, 0.376, 0.873)
Mg (0.376, 0.873, 0.376)
Mg (0.873, 0.376, 0.376)
Tl (0.000, 0.000, 0.000)
Au (0.750, 0.750, 0.750)

Record 23
Ce2NdGaN5 | PBE | relaxed

Output
* energy relative to the elements, uncorrected: -81.3 kJ/mol of atoms

abc: 7.472 7.472 10.263
angles: 90.00 90.00 153.15
Positions (direct):
Ce (0.115, 0.885, 0.500)
Ce (0.116, 0.884, 0.098)
Ce (0.884, 0.116, 0.598)
Ce (0.885, 0.115, 0.000)
Nd (0.208, 0.792, 0.807)
Nd (0.792, 0.208, 0.307)
Ga (0.492, 0.508, 0.304)
Ga (0.508, 0.492, 0.804)
N (0.042, 0.958, 0.884)
N (0.300, 0.700, 0.499)
N (0.335, 0.665, 0.151)
N (0.369, 0.631, 0.835)
N (0.498, 0.502, 0.111)
N (0.502, 0.498, 0.611)
N (0.631, 0.369, 0.335)
N (0.665, 0.335, 0.651)
N (0.700, 0.300, 0.999)
N (0.958, 0.042, 0.384)

Record 24
Fe2ReMo | PBE | relaxed

Output
* ΔH_f (0 K): 0.244 eV/atom

abc: 8.664 8.664 8.664
angles: 18.13 18.13 18.13
Positions (direct):
Fe (0.000, 0.000, 0.000)
Fe (0.260, 0.260, 0.260)
Re (0.749, 0.749, 0.749)
Mo (0.508, 0.508, 0.508)